An optimized crystal structure of BaMgPt2, computed with PBE.

Results
The value obtained for the spin magnetization is 0.0 μB/cell. Its energy relative to the elements is -0.158 eV per atom.

Unit cell a=7.0844 b=7.0844 c=7.0844 alpha=90.00 beta=90.00 gamma=90.00
Space group F-43m (No. 216)
One atom of each set of equivalent atoms:
Ba1 0.0000 0.0000 0.0000
Mg1 0.2500 0.2500 0.2500
Pt1 0.0000 0.0000 0.5000
Pt2 0.2500 0.2500 0.7500